[1]
Here is a relaxed structure of ScAlZn from the Open Quantum Materials Database. Energies are from GGA-PBE.

For the volume, the calculation gives 17.904 Å³ per atom. As for the total DFT energy (no corrections): -4.225 eV/atom. The total moment comes out at 0.12 Bohr magnetons per cell.

It has space group Imm2 (No. 44), with a = 4.3966 Å, b = 6.4299 Å, c = 7.6001 Å, α = 90.00°, β = 90.00° and γ = 90.00°. The inequivalent atoms are Sc at (0.0000, 0.0000, 0.0000), Sc at (0.0000, 0.5000, 0.0031), Al at (0.0000, 0.2526, 0.3350) and Zn at (0.0000, 0.2603, 0.6685).



[2]
Here is a relaxed structure of ZrSc2Al5 from the Open Quantum Materials Database. Energies are from GGA-PBE.

For the volume, the calculation gives 18.769 Å³ per atom. As for the total DFT energy (no corrections): -5.314 eV/atom. The total moment comes out at 1.87 Bohr magnetons per cell.

It has space group Amm2 (No. 38), with a = 4.8687 Å, b = 6.0258 Å, c = 10.2358 Å, α = 90.00°, β = 90.00° and γ = 90.00°. The inequivalent atoms are Zr at (0.0000, 0.0000, 0.0000), Sc at (0.0000, 0.0000, 0.5065), Sc at (0.5000, 0.0000, 0.8264), Al at (0.0000, 0.2313, 0.2495), Al at (0.5000, 0.0000, 0.3289) and Al at (0.5000, 0.2448, 0.0828).



Question: The highest total moment belongs to which entry?
Answer: ZrSc2Al5



Copy entry 2 word for word.
Here is a relaxed structure of ZrSc2Al5 from the Open Quantum Materials Database. Energies are from GGA-PBE.

For the volume, the calculation gives 18.769 Å³ per atom. As for the total DFT energy (no corrections): -5.314 eV/atom. The total moment comes out at 1.87 Bohr magnetons per cell.

It has space group Amm2 (No. 38), with a = 4.8687 Å, b = 6.0258 Å, c = 10.2358 Å, α = 90.00°, β = 90.00° and γ = 90.00°. The inequivalent atoms are Zr at (0.0000, 0.0000, 0.0000), Sc at (0.0000, 0.0000, 0.5065), Sc at (0.5000, 0.0000, 0.8264), Al at (0.0000, 0.2313, 0.2495), Al at (0.5000, 0.0000, 0.3289) and Al at (0.5000, 0.2448, 0.0828).